Crystalline CsBS2 at its relaxed geometry. Source: the Alexandria database, functional PBE.

a b c (Å): 5.019 7.352 8.518
angles (deg): 90.00 104.43 90.07
Sites, in units of the cell vectors:
1 Cs 0.000 0.000 0.000
2 Cs 0.183 0.500 0.435
3 B 0.487 0.480 0.973
4 B 0.696 0.980 0.462
5 S 0.432 0.311 0.837
6 S 0.544 0.647 0.112
7 S 0.638 0.147 0.322
8 S 0.752 0.811 0.598

Calculated values
- spin magnetization (μB/atom) = 0.000
- DOS(E_F) (states/eV per atom) = 0.000
- calculated total energy (Ha/atom) = -0.176
- uncorrected formation energy (meV per atom) = -834
- offset from the most stable computed form (meV per atom) = 53

Crystalline YSnCl3 at its relaxed geometry. Source: the Alexandria database, functional PBE.

a b c (Å): 5.355 5.355 5.355
angles (deg): 90.00 90.00 90.00
Sites, in units of the cell vectors:
1 Y 0.000 0.000 0.000
2 Sn 0.500 0.500 0.500
3 Cl 0.000 0.000 0.500
4 Cl 0.000 0.500 0.000
5 Cl 0.500 0.000 0.000

Calculated values
- spin magnetization (μB/atom) = 0.400
- DOS(E_F) (states/eV per atom) = 1.058
- calculated total energy (Ha/atom) = -0.160
- uncorrected formation energy (meV per atom) = -1164
- offset from the most stable computed form (meV per atom) = 0

Crystalline TlNiH at its relaxed geometry. Source: the Alexandria database, functional PBE.

a b c (Å): 3.391 5.239 5.442
angles (deg): 107.49 90.10 108.84
Sites, in units of the cell vectors:
1 Tl 0.104 0.213 0.309
2 Tl 0.896 0.787 0.691
3 Ni 0.185 0.371 0.846
4 Ni 0.815 0.629 0.154
5 H 0.335 0.669 0.125
6 H 0.665 0.331 0.875

Calculated values
- spin magnetization (μB/atom) = 0.000
- DOS(E_F) (states/eV per atom) = 0.375
- calculated total energy (Ha/atom) = -0.136
- offset from the most stable computed form (meV per atom) = 0